NdSc5P6: optimized geometry, PBE.

```
NdSc5P6
1.0
6.562 0.165 1.000
1.618 5.564 3.244
0.113 0.059 6.639
Sc P Nd
5 6 1
Direct
0.500 0.837 0.327
0.000 0.333 0.335
0.000 0.667 0.665
0.500 0.500 0.000
0.500 0.163 0.673
0.743 0.738 0.000
0.259 0.913 0.653
0.741 0.087 0.347
0.259 0.566 0.347
0.741 0.434 0.653
0.257 0.262 0.000
0.000 0.000 0.000
```

Values from the calculation:
crystal system = monoclinic
space-group type = C2/m, No. 12
uncorrected energy = -7.1998 eV per atom
formation energy = -140.81 kJ per mole of atoms